Entry 1:
A plane-wave DFT calculation with PBE was carried out for a geometry-optimized AgW2I structure.

Computed properties:
Raw formation energy, eV per atom: 1.341
Polymorph energy (0 for the lowest one), eV/atom: 0.0000

a b c (Å): 3.988 3.988 20.633
angles (deg): 90.00 90.00 90.00
Space group I-42d (No. 122)
Asymmetric unit:
Ag1 0.000 0.000 0.000 [4 per cell]
W1 0.203 0.250 0.125 [8 per cell]
I1 0.000 0.000 0.500 [4 per cell]

Entry 2:
A plane-wave DFT calculation with PBE was carried out for a geometry-optimized ZnP4Se structure.

Computed properties:
Raw formation energy, eV per atom: 0.561

a b c (Å): 8.070 8.070 8.070
angles (deg): 90.00 90.00 90.00
Space group F-43m (No. 216)
Asymmetric unit:
Zn1 0.000 0.000 0.000 [4 per cell]
P1 0.098 0.098 0.598 [16 per cell]
Se1 0.250 0.250 0.250 [4 per cell]

Entry 3:
A plane-wave DFT calculation with PBE was carried out for a geometry-optimized Pt5Au4 structure.

Computed properties:
DFT formation energy, eV per atom: 0.05

a b c (Å): 8.669 8.669 3.993
angles (deg): 90.00 90.00 90.00
Space group I4/mmm (No. 139)
Asymmetric unit:
Pt1 0.000 0.000 0.000 [2 per cell]
Pt2 0.165 0.165 0.500 [8 per cell]
Au1 0.000 0.330 0.000 [8 per cell]

Entry 4:
A plane-wave DFT calculation with PBE was carried out for a geometry-optimized BaPrMgZn structure.

Computed properties:
DFT formation energy, eV per atom: -0.04

a b c (Å): 8.015 8.015 8.015
angles (deg): 90.00 90.00 90.00
Space group F-43m (No. 216)
Asymmetric unit:
Ba1 0.000 0.000 0.000 [4 per cell]
Pr1 0.000 0.000 0.500 [4 per cell]
Mg1 0.250 0.250 0.250 [4 per cell]
Zn1 0.250 0.250 0.750 [4 per cell]

Entry 5:
A plane-wave DFT calculation with PBE was carried out for a geometry-optimized CaFe2Pt2 structure.

Computed properties:
DFT formation energy, eV per atom: 0.10

a b c (Å): 7.544 7.544 2.713
angles (deg): 90.00 90.00 90.00
Space group P4/mbm (No. 127)
Asymmetric unit:
Ca1 0.000 0.000 0.000 [2 per cell]
Fe1 0.169 0.331 0.500 [4 per cell]
Pt1 0.130 0.630 0.000 [4 per cell]

Entry 6:
A plane-wave DFT calculation with PBE was carried out for a geometry-optimized TaVHgN2 structure.

Computed properties:
Raw formation energy, eV per atom: 1.015

a b c (Å): 3.888 3.888 5.169
angles (deg): 90.00 90.00 90.00
Space group P4/mmm (No. 123)
Asymmetric unit:
Ta1 0.000 0.000 0.000 [1 per cell]
V1 0.000 0.000 0.500 [1 per cell]
Hg1 0.500 0.500 0.000 [1 per cell]
N1 0.000 0.500 0.500 [2 per cell]

Entry 7:
A plane-wave DFT calculation with PBE was carried out for a geometry-optimized Nd3Be2SbPt9 structure.

Computed properties:
Raw formation energy, eV per atom: -0.751

a b c (Å): 5.9151 5.9151 9.4902
angles (deg): 90.00 90.00 120.00
Space group P-3m1 (No. 164)
Asymmetric unit:
Nd1 0.0000 0.0000 0.0000 [1 per cell]
Nd2 0.3333 0.6667 0.6368 [2 per cell]
Be1 0.3333 0.6667 0.1441 [2 per cell]
Sb1 0.0000 0.0000 0.5000 [1 per cell]
Pt1 0.0000 0.5000 0.0000 [3 per cell]
Pt2 0.1656 0.3312 0.2853 [6 per cell]

Entry 8:
A plane-wave DFT calculation with PBE was carried out for a geometry-optimized Al2Sn2Ge structure.

Computed properties:
DFT formation energy, eV per atom: 0.18
Polymorph energy (0 for the lowest one), eV/atom: 0.0000

a b c (Å): 7.149 7.149 4.374
angles (deg): 90.00 90.00 90.00
Space group P4/mbm (No. 127)
Asymmetric unit:
Al1 0.132 0.368 0.000 [4 per cell]
Sn1 0.181 0.681 0.500 [4 per cell]
Ge1 0.000 0.000 0.000 [2 per cell]

Entry 9:
A plane-wave DFT calculation with PBE was carried out for a geometry-optimized YPaN structure.

Computed properties:
Raw formation energy, eV per atom: 0.047
Polymorph energy (0 for the lowest one), eV/atom: 0.6744

a b c (Å): 6.064 6.064 6.064
angles (deg): 90.00 90.00 90.00
Space group F-43m (No. 216)
Asymmetric unit:
Y1 0.000 0.000 0.000 [4 per cell]
Pa1 0.000 0.000 0.500 [4 per cell]
N1 0.250 0.250 0.750 [4 per cell]

Entry 10:
A plane-wave DFT calculation with PBE was carried out for a geometry-optimized Li4Cd5Au2 structure.

Computed properties:
DFT formation energy, eV per atom: -0.28
Polymorph energy (0 for the lowest one), eV/atom: 0.0257

a b c (Å): 16.660 4.718 5.265
angles (deg): 90.00 92.00 90.00
Space group C2/m (No. 12)
Asymmetric unit:
Li1 0.045 0.000 0.292 [4 per cell]
Li2 0.103 0.500 0.563 [4 per cell]
Cd1 0.000 0.500 0.000 [2 per cell]
Cd2 0.186 0.500 0.067 [4 per cell]
Cd3 0.209 0.000 0.398 [4 per cell]
Au1 0.107 0.000 0.825 [4 per cell]

Entry 11:
A plane-wave DFT calculation with PBE was carried out for a geometry-optimized ThNb2Os structure.

Computed properties:
DFT formation energy, eV per atom: 0.07

a b c (Å): 6.735 6.735 6.735
angles (deg): 90.00 90.00 90.00
Space group Fm-3m (No. 225)
Asymmetric unit:
Th1 0.000 0.000 0.000 [4 per cell]
Nb1 0.250 0.250 0.250 [8 per cell]
Os1 0.000 0.000 0.500 [4 per cell]

Entry 12:
A plane-wave DFT calculation with PBE was carried out for a geometry-optimized Eu3Ag5Te12 structure.

Computed properties:
Raw formation energy, eV per atom: -0.336

a b c (Å): 17.435 17.435 17.435
angles (deg): 90.00 90.00 90.00
Space group Ia-3d (No. 230)
Asymmetric unit:
Eu1 0.000 0.250 0.125 [24 per cell]
Ag1 0.000 0.000 0.000 [16 per cell]
Ag2 0.000 0.250 0.375 [24 per cell]
Te1 0.020 0.063 0.649 [96 per cell]

Number 1: N(E_F) 3.631 states/eV/f.u.. Number 2: N(E_F) 6.122 states/eV/f.u.. Number 3: N(E_F) 8.318 states/eV/f.u.. Number 4: N(E_F) 3.242 states/eV/f.u.. Number 5: N(E_F) 10.787 states/eV/f.u.. Number 6: N(E_F) 5.706 states/eV/f.u.. Number 7: N(E_F) 5.119 states/eV/f.u.. Number 8: N(E_F) 2.486 states/eV/f.u.. Number 9: N(E_F) 5.776 states/eV/f.u.. Number 10: N(E_F) 3.587 states/eV/f.u.. Number 11: N(E_F) 3.588 states/eV/f.u.. Number 12: N(E_F) 21.771 states/eV/f.u..